Record 1
VASP calculation (SCAN) on a crystal of CaNi2MoSe relaxed with PBEsol.

Cell: 4.5429 4.5429 4.7623 Å, 90.00 90.00 90.00°
With the nearest neighbours (Å) after each atom.
Atoms (fractional coordinates):
Se1 0.0000 0.0000 0.5000  2 Mo 2.38
Ni1 0.0000 0.5000 0.0000  2 Mo 2.27
Ni2 0.5000 0.0000 0.0000  2 Mo 2.27
Ca1 0.5000 0.5000 0.5000  4 Se 3.21, 8 Ni 3.29
Mo1 0.0000 0.0000 0.0000  4 Ni 2.27, 2 Se 2.38

Space group = P4/mmm, No. 123
Fermi-level density of states = 0.570 states/eV per atom
Raw formation energy = 0.197 eV per atom
Magnetic moment = 0.00 μB/cell

Record 2
VASP calculation (SCAN) on a crystal of Tm5Te4Se relaxed with PBEsol.

Cell: 4.1542 7.2971 9.3486 Å, 75.01 77.16 73.46°
With the nearest neighbours (Å) after each atom.
Atoms (fractional coordinates):
Tm1 0.5814 0.7444 0.0927  2 Se 2.76, 4 Te 3.02-3.08
Tm2 0.8143 0.0975 0.2739  1 Se 2.72, 4 Te 2.98-3.03
Tm3 0.0000 0.5000 0.5000  6 Te 2.98-3.00
Tm4 0.4186 0.2556 0.9073  2 Se 2.76, 4 Te 3.02-3.08
Tm5 0.1857 0.9025 0.7261  1 Se 2.72, 4 Te 2.98-3.03
Te1 0.8039 0.5820 0.8102  6 Tm 3.00-3.08
Te2 0.3907 0.8082 0.4104  6 Tm 2.98-3.08
Te3 0.6093 0.1918 0.5896  6 Tm 2.98-3.08
Te4 0.1961 0.4180 0.1898  6 Tm 3.00-3.08
Se1 0.0000 0.0000 0.0000  6 Tm 2.72-2.76

Space group = C2/m, No. 12
Fermi-level density of states = 0.428 states/eV per atom
Raw formation energy = -1.398 eV per atom
Magnetic moment = 0.00 μB/cell